Record 1
SrMgTlCd: optimized geometry, PBE-GGA.

Values from the calculation:
**Formation enthalpy at 0 K**: -0.244 eV/atom
**Space group**: F-43m
**Magnetization**: 0.0 μB per formula unit
**Total energy**: -1.884 eV per atom

POSCAR file:
```
SrMgTlCd
1.0
0.000 3.824 3.824
3.824 0.000 3.824
3.824 3.824 0.000
Sr Mg Tl Cd
1 1 1 1
Direct
0.000 0.000 0.000 Sr
0.500 0.500 0.500 Mg
0.750 0.750 0.750 Tl
0.250 0.250 0.250 Cd
```

Record 2
SrMgTl2Cd: optimized geometry, PBE-GGA.

Values from the calculation:
**Formation enthalpy at 0 K**: 0.255 eV/atom
**Energy above the lowest structure with this stoichiometry**: 470 meV/atom
**Space group**: P4/mmm
**Magnetization**: 0.0 μB per formula unit
**Total energy**: -1.530 eV per atom

POSCAR file:
```
SrMgTl2Cd
1.0
5.626 0.000 0.000
0.000 5.626 0.000
0.000 0.000 6.206
Sr Mg Tl Cd
1 1 2 1
Direct
0.000 0.000 0.000 Sr
0.500 0.500 0.000 Mg
0.000 0.500 0.500 Tl
0.500 0.000 0.500 Tl
0.000 0.000 0.500 Cd
```

Record 3
SrTmMg2Cd4: optimized geometry, PBE-GGA.

Values from the calculation:
**Formation enthalpy at 0 K**: -0.252 eV/atom
**Space group**: R-3m
**Magnetization**: 0.0 μB per formula unit
**Total energy**: -1.877 eV per atom

POSCAR file:
```
SrTmMg2Cd4
1.0
2.574 1.486 8.627
-2.574 1.486 8.627
0.000 -2.972 8.627
Sr Tm Mg Cd
1 1 2 4
Direct
0.000 0.000 0.000 Sr
0.500 0.500 0.500 Tm
0.247 0.247 0.247 Mg
0.753 0.753 0.753 Mg
0.128 0.128 0.128 Cd
0.382 0.382 0.382 Cd
0.618 0.618 0.618 Cd
0.872 0.872 0.872 Cd
```

Record 4
Sr2TmMg12Cd3: optimized geometry, PBE-GGA.

Values from the calculation:
**Formation enthalpy at 0 K**: 0.195 eV/atom
**Space group**: R-3m
**Magnetization**: 0.0 μB per formula unit
**Total energy**: -1.456 eV per atom

POSCAR file:
```
Sr2TmMg12Cd3
1.0
4.402 2.541 8.330
-4.402 2.541 8.330
0.000 -5.083 8.330
Sr Tm Mg Cd
2 1 12 3
Direct
0.081 0.081 0.081 Sr
0.919 0.919 0.919 Sr
0.500 0.500 0.500 Tm
0.051 0.675 0.675 Mg
0.283 0.283 0.637 Mg
0.283 0.637 0.283 Mg
0.325 0.325 0.949 Mg
0.325 0.949 0.325 Mg
0.363 0.717 0.717 Mg
0.637 0.283 0.283 Mg
0.675 0.051 0.675 Mg
0.675 0.675 0.051 Mg
0.717 0.363 0.717 Mg
0.717 0.717 0.363 Mg
0.949 0.325 0.325 Mg
0.000 0.500 0.500 Cd
0.500 0.000 0.500 Cd
0.500 0.500 0.000 Cd
```

Record 5
Sr2TmMg2Cd5: optimized geometry, PBE-GGA.

Values from the calculation:
**Formation enthalpy at 0 K**: -0.229 eV/atom
**Space group**: P4/mbm
**Magnetization**: 0.0 μB per formula unit
**Total energy**: -1.789 eV per atom

POSCAR file:
```
Sr2TmMg2Cd5
1.0
11.181 0.000 0.000
0.000 11.181 0.000
0.000 0.000 4.318
Sr Tm Mg Cd
4 2 4 10
Direct
0.180 0.320 0.000 Sr
0.320 0.820 0.000 Sr
0.680 0.180 0.000 Sr
0.820 0.680 0.000 Sr
0.000 0.000 0.000 Tm
0.500 0.500 0.000 Tm
0.117 0.617 0.000 Mg
0.383 0.117 0.000 Mg
0.617 0.883 0.000 Mg
0.883 0.383 0.000 Mg
0.000 0.500 0.500 Cd
0.054 0.797 0.500 Cd
0.203 0.054 0.500 Cd
0.297 0.554 0.500 Cd
0.446 0.297 0.500 Cd
0.500 0.000 0.500 Cd
0.554 0.703 0.500 Cd
0.703 0.446 0.500 Cd
0.797 0.946 0.500 Cd
0.946 0.203 0.500 Cd
```

Record 6
SrMgVCd2: optimized geometry, PBE-GGA.

Values from the calculation:
**Formation enthalpy at 0 K**: 0.515 eV/atom
**Space group**: P4/mmm
**Magnetization**: 3.8 μB per formula unit
**Total energy**: -2.330 eV per atom

POSCAR file:
```
SrMgVCd2
1.0
5.272 0.000 0.000
0.000 5.272 0.000
0.000 0.000 5.235
Sr Mg V Cd
1 1 1 2
Direct
0.000 0.000 0.000 Sr
0.500 0.500 0.500 Mg
0.500 0.500 0.000 V
0.000 0.500 0.500 Cd
0.500 0.000 0.500 Cd
```

Record 7
Sr2MgZn3Cd4: optimized geometry, PBE-GGA.

Values from the calculation:
**Formation enthalpy at 0 K**: -0.227 eV/atom
**Space group**: P-4m2
**Magnetization**: 0.0 μB per formula unit
**Total energy**: -1.471 eV per atom

POSCAR file:
```
Sr2MgZn3Cd4
1.0
4.489 0.000 0.000
0.000 4.489 0.000
0.000 0.000 12.350
Sr Mg Zn Cd
2 1 3 4
Direct
0.000 0.500 0.242 Sr
0.500 0.000 0.758 Sr
0.000 0.000 0.500 Mg
0.000 0.500 0.862 Zn
0.500 0.000 0.138 Zn
0.500 0.500 0.500 Zn
0.000 0.000 0.000 Cd
0.000 0.500 0.644 Cd
0.500 0.000 0.356 Cd
0.500 0.500 0.000 Cd
```

Record 8
SrMg2ZnCd2: optimized geometry, PBE-GGA.

Values from the calculation:
**Formation enthalpy at 0 K**: 0.088 eV/atom
**Space group**: I4/mmm
**Magnetization**: 0.0 μB per formula unit
**Total energy**: -1.241 eV per atom

POSCAR file:
```
SrMg2ZnCd2
1.0
-2.751 2.751 6.016
2.751 -2.751 6.016
2.751 2.751 -6.016
Sr Mg Zn Cd
1 2 1 2
Direct
0.000 0.000 0.000 Sr
0.250 0.750 0.500 Mg
0.750 0.250 0.500 Mg
0.500 0.500 0.000 Zn
0.286 0.286 0.000 Cd
0.714 0.714 0.000 Cd
```

Q: Look up the total energy of the eighth one.
A: -1.241 eV per atom